(1)
This record from Alexandria describes crystalline Ac3CdAu3 at its relaxed geometry. The functional is PBE.

Cell: 12.360 4.506 15.964 Å, 90.00 110.05 90.00°
Space group C2/m (No. 12)
Unique sites:
Ac 0.022 0.000 0.384 x4
Ac 0.102 0.000 0.923 x4
Ac 0.234 0.000 0.229 x4
Cd 0.235 0.500 0.402 x4
Au 0.016 0.500 0.232 x4
Au 0.123 0.500 0.077 x4
Au 0.124 0.500 0.547 x4

Computed properties:
- Offset from the most stable computed form: 0.0 meV per atom
- ΔE_f: -0.692 eV/atom
- E_tot: -3.9884 eV per atom

=====

(2)
This record from Alexandria describes crystalline ScAl2PdW at its relaxed geometry. The functional is PBE.

Cell: 4.806 4.806 4.831 Å, 90.00 90.00 90.00°
Space group P4/mmm (No. 123)
Unique sites:
Sc 0.000 0.000 0.000 x1
Al 0.000 0.500 0.500 x2
Pd 0.500 0.500 0.000 x1
W 0.500 0.500 0.500 x1

Computed properties:
- ΔE_f: 0.571 eV/atom
- E_tot: -5.8211 eV per atom